Entry from the Alexandria database: a relaxed NbRePt crystal (PBE-GGA).

a = 4.9486 Å, b = 8.6369 Å, c = 4.8141 Å
α = 90.00°, β = 109.97°, γ = 90.00°
Space group C2 (No. 5)
One atom of each set of equivalent atoms:
Nb  0.0000  0.0000  0.0000 (multiplicity 2)
Nb  0.0000  0.3338  0.0000 (multiplicity 2)
Re  0.0000  0.1731  0.5000 (multiplicity 2)
Re  0.0000  0.5129  0.5000 (multiplicity 2)
Pt  0.0000  0.6630  0.0000 (multiplicity 2)
Pt  0.0000  0.8385  0.5000 (multiplicity 2)

## Properties
Energy of formation in eV per atom: -0.20
Crystal system: monoclinic

=====

Entry from the Alexandria database: a relaxed NaPuHgBr6 crystal (PBE-GGA).

a = 7.3309 Å, b = 7.3309 Å, c = 13.3019 Å
α = 90.00°, β = 90.00°, γ = 120.00°
Space group P-31c (No. 163)
One atom of each set of equivalent atoms:
Na  0.0000  0.0000  0.0000 (multiplicity 2)
Pu  0.3333  0.6667  0.2500 (multiplicity 2)
Hg  0.3333  0.6667  0.7500 (multiplicity 2)
Br  0.0009  0.3509  0.6286 (multiplicity 12)

## Properties
E_form (uncorrected) in eV per atom: -1.130
Crystal system: trigonal

=====

Entry from the Alexandria database: a relaxed ScCdFe2 crystal (PBE-GGA).

a = 4.0183 Å, b = 4.0263 Å, c = 8.0749 Å
α = 90.00°, β = 90.00°, γ = 90.00°
Space group Cmmm (No. 65)
One atom of each set of equivalent atoms:
Sc  0.0000  0.0000  0.0000 (multiplicity 2)
Cd  0.0000  0.0000  0.5000 (multiplicity 2)
Fe  0.0000  0.5000  0.2503 (multiplicity 4)

## Properties
Energy of formation in eV per atom: 0.24
Crystal system: orthorhombic

=====

no.,magnetization (Bohr magnetons per cell)
1,0.0
2,10.0
3,8.8